Below is YHf2P3 after structural relaxation, with properties calculated at the PBE level.

a = 3.790 Å, b = 3.790 Å, c = 9.295 Å
α = 90.00°, β = 90.00°, γ = 120.00°
Positions (direct):
Hf 0.667 0.333 0.156
Hf 0.333 0.667 0.844
P 0.000 0.000 0.000
P 0.333 0.667 0.316
P 0.667 0.333 0.684
Y 0.000 0.000 0.500

Properties
Its symmetry is P-3m1, No. 164. As for the calculated density: 7738 kg/m3. The total energy comes out at -8.481 eV/atom.

***

Below is ScBeOs after structural relaxation, with properties calculated at the PBE level.

a = 4.181 Å, b = 4.181 Å, c = 4.181 Å
α = 60.00°, β = 60.00°, γ = 60.00°
Positions (direct):
Be 0.250 0.250 0.250
Os 0.000 0.000 0.000
Sc 0.750 0.750 0.750

Properties
Its symmetry is F-43m, No. 216. As for the calculated density: 7844 kg/m3. The total energy comes out at -6.737 eV/atom.

***

Below is CsNa2Au2 after structural relaxation, with properties calculated at the PBE level.

a = 7.360 Å, b = 7.360 Å, c = 7.360 Å
α = 141.47°, β = 141.47°, γ = 55.62°
Positions (direct):
Au 0.391 0.391 0.000
Au 0.609 0.609 0.000
Cs 0.000 0.000 0.000
Na 0.750 0.250 0.500
Na 0.250 0.750 0.500

Properties
Its symmetry is I4/mmm, No. 139. As for the calculated density: 6195 kg/m3. The total energy comes out at -2.290 eV/atom.

***

Below is SrCd2 after structural relaxation, with properties calculated at the PBE level.

a = 6.117 Å, b = 6.117 Å, c = 6.117 Å
α = 60.00°, β = 60.00°, γ = 60.00°
Positions (direct):
Cd 0.625 0.625 0.125
Cd 0.625 0.125 0.625
Cd 0.125 0.625 0.625
Cd 0.625 0.625 0.625
Sr 0.000 0.000 0.000
Sr 0.250 0.250 0.250

Properties
Its symmetry is Fd-3m, No. 227. As for the calculated density: 6410 kg/m3. The total energy comes out at -1.469 eV/atom.

***

What did the second record say?
Below is ScBeOs after structural relaxation, with properties calculated at the PBE level.

a = 4.181 Å, b = 4.181 Å, c = 4.181 Å
α = 60.00°, β = 60.00°, γ = 60.00°
Positions (direct):
Be 0.250 0.250 0.250
Os 0.000 0.000 0.000
Sc 0.750 0.750 0.750

Properties
Its symmetry is F-43m, No. 216. As for the calculated density: 7844 kg/m3. The total energy comes out at -6.737 eV/atom.